Density functional theory data (GGA+U) for an optimized crystal structure of Y12Mn3O5.

a b c (Å): 15.590 15.590 15.590
angles (deg): 90.00 90.00 90.00
Space group Ia-3d (No. 230)
One atom of each set of equivalent atoms:
Y (0.041, 0.050, 0.647) (multiplicity 96)
Mn (0.000, 0.250, 0.125) (multiplicity 24)
O (0.000, 0.000, 0.000) (multiplicity 16)
O (0.000, 0.250, 0.375) (multiplicity 24)

Results
DFT total energy = -1201.38 eV/cell
V = 3789.3 Å³/cell
N(E_F) = 103.689 states/eV/cell